No. 1
VASP calculation (PBE) on YHgOs2 after structural relaxation.

abc: 5.121 5.121 5.121
angles: 131.77 131.77 70.59
Element x y z (fractional)
Os  0.250  0.750  0.500
Hg  0.750  0.250  0.500
Y  0.500  0.500  0.000
Os  0.000  0.000  0.000

- total moment (Bohr magnetons per cell) = 0.00
- DFT formation energy (eV per atom) = 0.4986
- N(E_F) (states/eV per cell) = 5.02


No. 2
VASP calculation (PBE) on Y3HgOs after structural relaxation.

abc: 5.373 5.373 5.373
angles: 90.00 90.00 90.00
Element x y z (fractional)
Y  0.500  0.000  0.000
Y  0.000  0.000  0.500
Hg  0.500  0.500  0.500
Y  0.000  0.500  0.000
Os  0.000  0.000  0.000

- total moment (Bohr magnetons per cell) = 0.00
- DFT formation energy (eV per atom) = -0.0639
- distance to the lowest polymorph of the same formula (eV per formula unit) = 1.40
- N(E_F) (states/eV per cell) = 2.91


No. 3
VASP calculation (PBE) on YHg2Os after structural relaxation.

abc: 5.393 5.393 5.393
angles: 133.38 133.40 68.04
Element x y z (fractional)
Hg  0.500  0.500  0.000
Y  0.250  0.750  0.500
Hg  0.000  0.000  0.000
Os  0.750  0.250  0.500

- total moment (Bohr magnetons per cell) = 0.00
- DFT formation energy (eV per atom) = 0.0956
- distance to the lowest polymorph of the same formula (eV per formula unit) = 0.00
- N(E_F) (states/eV per cell) = 2.13


No. 4
VASP calculation (PBE) on YHgOs3 after structural relaxation.

abc: 4.962 4.962 4.962
angles: 90.00 90.00 90.00
Element x y z (fractional)
Os  0.000  0.000  0.500
Hg  0.500  0.500  0.500
Y  0.000  0.000  0.000
Os  0.000  0.500  0.000
Os  0.500  0.000  0.000

- total moment (Bohr magnetons per cell) = 4.83
- DFT formation energy (eV per atom) = 2.8421
- distance to the lowest polymorph of the same formula (eV per formula unit) = 2.63
- N(E_F) (states/eV per cell) = 3.69


No. 5
VASP calculation (PBE) on Y4Hg3Os after structural relaxation.

abc: 3.562 3.562 15.335
angles: 90.00 90.00 90.00
Element x y z (fractional)
Y  0.000  0.000  0.894
Y  0.000  0.000  0.371
Hg  0.500  0.500  0.244
Y  0.000  0.000  0.629
Y  0.000  0.000  0.106
Hg  0.500  0.500  0.500
Os  0.500  0.500  0.000
Hg  0.500  0.500  0.756

- total moment (Bohr magnetons per cell) = 0.00
- DFT formation energy (eV per atom) = -0.4275
- N(E_F) (states/eV per cell) = 5.64


No. 6
VASP calculation (PBE) on YHgOs2 after structural relaxation.

abc: 4.192 4.166 4.166
angles: 90.00 90.00 90.00
Element x y z (fractional)
Os  0.000  0.000  0.000
Os  0.000  0.500  0.500
Y  0.500  0.500  0.000
Hg  0.500  0.000  0.500

- total moment (Bohr magnetons per cell) = 0.51
- DFT formation energy (eV per atom) = 0.4338
- N(E_F) (states/eV per cell) = 5.15